First-principles (GGA+U) data for a relaxed structure of Pm2CrPdO6, as listed in Alexandria via LeMat-Bulk.

final energy: -7.290 eV/atom
magnetization: 2.78 μB/cell

abc: 4.4498 5.4588 5.4588
angles: 90.00 90.00 90.00
Each line ends with the local moment (μB).
Sites, in units of the cell vectors:
Pm: 0.0310 0.5000 0.0000  0.01
Pm: 0.0310 0.0000 0.5000  0.01
Cr: 0.6008 0.5000 0.5000  2.88
Pd: 0.6416 0.0000 0.0000  -0.05
O: 0.7058 0.2567 0.2567  -0.01
O: 0.7058 0.2567 0.7433  -0.01
O: 0.1696 0.5000 0.5000  -0.01
O: 0.1495 0.0000 0.0000  -0.07
O: 0.7058 0.7433 0.7433  -0.01
O: 0.7058 0.7433 0.2567  -0.01